Ti7In2Au2: relaxed, PBE-GGA.

Its total magnetization is 0.00 μB per formula unit. As for the uncorrected energy: -6.163 eV per atom. As for the formation energy: -4.38 kJ/mol of atoms.

It has space group C2/m (No. 12), with a = 8.252 Å, b = 8.100 Å, c = 6.410 Å, α = 90.00°, β = 107.33° and γ = 90.00°. The asymmetric unit holds Ti at (0.000, 0.000, 0.000), Ti at (0.177, 0.288, 0.173), Ti at (0.229, 0.500, 0.524), In at (0.000, 0.210, 0.500) and Au at (0.097, 0.500, 0.839).

***

TiInAu2: relaxed, PBE-GGA.

Its total magnetization is 0.76 μB per formula unit. As for the uncorrected energy: -4.590 eV per atom. As for the formation energy: -28.27 kJ/mol of atoms.

It has space group P4/mmm (No. 123), with a = 3.134 Å, b = 3.134 Å, c = 7.673 Å, α = 90.00°, β = 90.00° and γ = 90.00°. The asymmetric unit holds Ti at (0.000, 0.000, 0.000), In at (0.000, 0.000, 0.500) and Au at (0.500, 0.500, 0.229).

***

TiInAu2: relaxed, PBE-GGA.

Its total magnetization is 0.00 μB per formula unit. As for the uncorrected energy: -4.448 eV per atom. As for the formation energy: -14.57 kJ/mol of atoms.

It has space group R-3m (No. 166, hexagonal axes), with a = 3.3640 Å, b = 3.3640 Å, c = 24.8639 Å, α = 90.00°, β = 90.00° and γ = 120.00°. The asymmetric unit holds Ti at (0.0000, 0.0000, 0.0000), In at (0.0000, 0.0000, 0.5000) and Au at (0.0000, 0.0000, 0.2581).

***

Look up the formation energy of the third one.
-14.57 kJ/mol of atoms

***

What is the formation energy in the first record?
-4.38 kJ/mol of atoms